## Tb5Ag12Sn3 (PBE)

Data for crystalline Tb5Ag12Sn3 at its relaxed geometry. Values from VASP.

Results
For the density of states at the Fermi level, the calculation gives 60.884 states/eV/cell. As for the calculated formation energy: 311 meV/atom. Its symmetry is No. 230. As for the volume: 2291 Å³ per cell. The calculation puts the total magnetization at 0.0 μB per formula unit. The calculated density comes out at 7.1 g/cm³.

```
&SYSTEM
  ibrav = 0, nat = 80, ntyp = 3
/
ATOMIC_SPECIES
Ag 107.87 Ag.upf
Sn 118.71 Sn.upf
Tb 158.93 Tb.upf
CELL_PARAMETERS angstrom
14.384 0.000 0.000
-4.795 13.562 0.000
-4.795 -6.781 11.745
ATOMIC_POSITIONS crystal
Ag 0.933 0.840 0.578
Ag 0.922 0.567 0.160
Ag 0.160 0.092 0.737
Ag 0.340 0.763 0.408
Ag 0.422 0.763 0.855
Ag 0.660 0.422 0.567
Ag 0.237 0.660 0.092
Ag 0.355 0.922 0.763
Ag 0.433 0.078 0.340
Ag 0.078 0.645 0.737
Ag 0.645 0.078 0.237
Ag 0.433 0.355 0.592
Ag 0.092 0.160 0.237
Ag 0.855 0.592 0.933
Ag 0.408 0.263 0.340
Ag 0.145 0.408 0.067
Ag 0.933 0.092 0.855
Ag 0.067 0.908 0.145
Ag 0.340 0.578 0.433
Ag 0.737 0.145 0.078
Ag 0.840 0.908 0.263
Ag 0.592 0.737 0.660
Ag 0.908 0.840 0.763
Ag 0.737 0.592 0.160
Ag 0.092 0.933 0.355
Ag 0.840 0.933 0.078
Ag 0.160 0.067 0.922
Ag 0.578 0.237 0.145
Ag 0.855 0.263 0.422
Ag 0.567 0.922 0.660
Ag 0.922 0.355 0.263
Ag 0.592 0.855 0.433
Ag 0.763 0.422 0.355
Ag 0.067 0.160 0.422
Ag 0.645 0.567 0.908
Ag 0.660 0.237 0.592
Ag 0.908 0.067 0.645
Ag 0.145 0.737 0.578
Ag 0.355 0.433 0.092
Ag 0.578 0.340 0.933
Ag 0.078 0.433 0.840
Ag 0.408 0.145 0.567
Ag 0.567 0.645 0.408
Ag 0.237 0.578 0.645
Ag 0.263 0.408 0.840
Ag 0.422 0.660 0.067
Ag 0.763 0.340 0.908
Ag 0.263 0.855 0.922
Sn 0.625 0.250 0.375
Sn 0.125 0.875 0.750
Sn 0.750 0.875 0.625
Sn 0.375 0.625 0.250
Sn 0.125 0.250 0.875
Sn 0.250 0.625 0.875
Sn 0.625 0.375 0.750
Sn 0.875 0.750 0.125
Sn 0.875 0.125 0.250
Sn 0.250 0.125 0.375
Sn 0.750 0.375 0.125
Sn 0.375 0.750 0.625
Tb 0.625 0.875 0.250
Tb 0.500 0.000 0.000
Tb 0.875 0.250 0.625
Tb 0.500 0.500 0.500
Tb 0.500 0.000 0.500
Tb 0.750 0.125 0.875
Tb 0.000 0.000 0.500
Tb 0.000 0.500 0.500
Tb 0.375 0.125 0.750
Tb 0.875 0.625 0.750
Tb 0.375 0.250 0.125
Tb 0.750 0.625 0.375
Tb 0.125 0.375 0.250
Tb 0.000 0.500 0.000
Tb 0.625 0.750 0.875
Tb 0.250 0.375 0.625
Tb 0.500 0.500 0.000
Tb 0.125 0.750 0.375
Tb 0.000 0.000 0.000
Tb 0.250 0.875 0.125
```